[1]
Material: MnBi3I
Method: DFT, GGA-PBE
State: optimized geometry

a = 5.2448 Å, b = 5.2448 Å, c = 5.2448 Å
α = 90.00°, β = 90.00°, γ = 90.00°
With the nearest neighbours (Å) after each atom.
Space group Pm-3m (No. 221)
Symmetry-distinct sites (fractional):
Mn 0.0000 0.0000 0.0000  6 Bi 2.62
Bi 0.0000 0.0000 0.5000  2 Mn 2.62
I 0.5000 0.5000 0.5000  12 Bi 3.71

Results
- total moment (μB per atom) = 0.000
- uncorrected formation energy (meV/atom) = 399
- crystal system = cubic
- E_tot (eV/atom) = -4.073
- offset from the most stable computed form (eV per atom) = 0.0000

***

[2]
Material: Li12Cd3Cu
Method: DFT, GGA-PBE
State: optimized geometry

a = 4.1549 Å, b = 4.1549 Å, c = 16.4226 Å
α = 90.00°, β = 90.00°, γ = 90.00°
With the nearest neighbours (Å) after each atom.
Space group P4/mmm (No. 123)
Symmetry-distinct sites (fractional):
Li 0.0000 0.0000 0.0000  8 Li 2.77, 4 Cu 2.94
Li 0.0000 0.0000 0.2407  4 Cd 2.94, 8 Li 2.96-2.98
Li 0.0000 0.0000 0.5000  4 Cd 2.94, 8 Li 2.97
Li 0.0000 0.5000 0.1119  8 Li 2.77-2.96, 2 Cu 2.77, 2 Cd 2.98
Li 0.0000 0.5000 0.3708  8 Li 2.94-2.98, 4 Cd 2.97
Cd 0.5000 0.5000 0.2416  12 Li 2.94-2.98
Cd 0.5000 0.5000 0.5000  12 Li 2.94-2.97
Cu 0.5000 0.5000 0.0000  12 Li 2.77-2.94

Results
- total moment (μB per atom) = 0.000
- crystal system = tetragonal
- E_tot (eV/atom) = -1.977
- DFT formation energy (eV/atom) = -0.11

***

[3]
Material: NaSr4Pt
Method: DFT, GGA-PBE
State: optimized geometry

a = 7.2096 Å, b = 7.5925 Å, c = 9.8920 Å
α = 90.00°, β = 110.29°, γ = 90.00°
With the nearest neighbours (Å) after each atom.
Space group P2_1/m (No. 11)
Symmetry-distinct sites (fractional):
Na 0.1355 0.2500 0.4565  7 Sr 3.68-4.01
Sr 0.1196 0.2500 0.0811  1 Pt 3.01
Sr 0.2738 0.7500 0.3532  1 Pt 3.10
Sr 0.3323 0.5035 0.8034  2 Pt 3.06-3.13
Pt 0.3245 0.7500 0.0544  6 Sr 3.01-3.13

Results
- total moment (μB per atom) = 0.000
- crystal system = monoclinic
- E_tot (eV/atom) = -2.672
- DFT formation energy (eV/atom) = -0.32
- offset from the most stable computed form (eV per atom) = 0.0000

***

[4]
Material: Ce2HoTh3As6
Method: DFT, GGA-PBE
State: optimized geometry

a = 18.3794 Å, b = 4.2218 Å, c = 8.4322 Å
α = 90.00°, β = 103.16°, γ = 90.00°
With the nearest neighbours (Å) after each atom.
Space group C2/m (No. 12)
Symmetry-distinct sites (fractional):
Ce 0.1660 0.0000 0.3324  6 As 2.97-2.99
Ho 0.0000 0.5000 0.0000  6 As 2.93-2.95
Th 0.0000 0.5000 0.5000  6 As 2.99-3.02
Th 0.1670 0.0000 0.8339  6 As 2.99-3.03
As 0.0002 0.0000 0.2441  2 Ho 2.95, 1 Ce 2.97, 3 Th 2.99-3.02
As 0.1640 0.5000 0.0838  1 Ho 2.93, 2 Ce 2.97, 3 Th 2.99-3.03
As 0.1672 0.5000 0.5819  3 Ce 2.98-2.99, 3 Th 2.99-3.00

Results
- total moment (μB per atom) = 0.112
- crystal system = monoclinic
- E_tot (eV/atom) = -6.988
- DFT formation energy (eV/atom) = -1.44

***

[5]
Material: YInHg2
Method: DFT, GGA-PBE
State: optimized geometry

a = 10.1531 Å, b = 3.7428 Å, c = 5.5453 Å
α = 90.00°, β = 103.98°, γ = 90.00°
With the nearest neighbours (Å) after each atom.
Space group C2/m (No. 12)
Symmetry-distinct sites (fractional):
Y 0.0000 0.0000 0.0000  6 Hg 3.17-3.19, 4 In 3.35
In 0.0000 0.5000 0.5000  6 Hg 3.17-3.19, 4 Y 3.35
Hg 0.2503 0.0000 0.7501  3 In 3.17-3.19, 3 Y 3.17-3.19, 4 Hg 3.34-3.35

Results
- total moment (μB per atom) = 0.000
- crystal system = monoclinic
- E_tot (eV/atom) = -2.762
- DFT formation energy (eV/atom) = -0.31

***

[6]
Material: Zn2RePb
Method: DFT, GGA-PBE
State: optimized geometry

a = 6.5836 Å, b = 6.5836 Å, c = 6.5836 Å
α = 90.00°, β = 90.00°, γ = 90.00°
With the nearest neighbours (Å) after each atom.
Space group F-43m (No. 216)
Symmetry-distinct sites (fractional):
Zn 0.0000 0.0000 0.0000  4 Re 2.85, 4 Zn 2.85
Zn 0.2500 0.2500 0.2500  4 Pb 2.85, 4 Zn 2.85
Re 0.2500 0.2500 0.7500  4 Zn 2.85, 4 Pb 2.85
Pb 0.0000 0.0000 0.5000  4 Re 2.85, 4 Zn 2.85

Results
- total moment (μB per atom) = 0.000
- crystal system = cubic
- E_tot (eV/atom) = -3.829
- DFT formation energy (eV/atom) = 0.85

***

[7]
Material: Cu7Ag2Sb2Au
Method: DFT, GGA-PBE
State: optimized geometry

a = 5.2202 Å, b = 5.2175 Å, c = 14.7885 Å
α = 90.00°, β = 99.61°, γ = 90.00°
With the nearest neighbours (Å) after each atom.
Space group C2/m (No. 12)
Symmetry-distinct sites (fractional):
Cu 0.0000 0.0000 0.0000  4 Au 2.61, 8 Cu 2.68
Cu 0.1873 0.2497 0.8668  6 Cu 2.61-2.68, 2 Au 2.68, 2 Ag 2.69
Cu 0.2168 0.0000 0.4552  1 Sb 2.59, 1 Ag 2.74, 1 Cu 2.81
Ag 0.1272 0.0000 0.2675  5 Cu 2.69-2.74, 4 Sb 2.98-2.99
Sb 0.1756 0.5000 0.3672  1 Cu 2.59
Au 0.0000 0.5000 0.0000  12 Cu 2.61-2.68

Results
- total moment (μB per atom) = 0.000
- uncorrected formation energy (meV/atom) = 145
- crystal system = monoclinic
- E_tot (eV/atom) = -3.680

***

[8]
Material: TlAgSn2
Method: DFT, GGA-PBE
State: optimized geometry

a = 16.0755 Å, b = 8.6870 Å, c = 6.0590 Å
α = 90.00°, β = 90.00°, γ = 90.00°
With the nearest neighbours (Å) after each atom.
Space group Pnma (No. 62)
Symmetry-distinct sites (fractional):
Tl 0.1159 0.2500 0.2480  3 Ag 3.12-3.31, 6 Sn 3.45-3.49
Tl 0.1404 0.7500 0.4640  3 Ag 3.21-3.32, 6 Sn 3.40-3.55
Ag 0.0736 0.7500 0.9655  6 Sn 2.95-3.00, 2 Tl 3.21-3.22
Ag 0.1704 0.2500 0.7423  6 Sn 2.90-3.05, 2 Tl 3.12-3.19
Sn 0.0285 0.0431 0.7443  3 Ag 2.90-3.00, 1 Sn 3.19
Sn 0.2186 0.5421 0.9628  3 Ag 2.95-3.05, 2 Sn 3.28

Results
- total moment (μB per atom) = 0.000
- crystal system = orthorhombic
- E_tot (eV/atom) = -3.267
- DFT formation energy (eV/atom) = 0.04
- offset from the most stable computed form (eV per atom) = 0.0126

***

[9]
Material: TaTlCl2
Method: DFT, GGA-PBE
State: optimized geometry

a = 3.2960 Å, b = 3.2960 Å, c = 30.7186 Å
α = 90.00°, β = 90.00°, γ = 120.00°
With the nearest neighbours (Å) after each atom.
Space group R-3m (No. 166, hexagonal axes)
Symmetry-distinct sites (fractional):
Ta 0.0000 0.0000 0.0000  2 Cl 2.31
Tl 0.0000 0.0000 0.5000  6 Tl 3.30, 6 Cl 3.39
Cl 0.0000 0.0000 0.0753  1 Ta 2.31

Results
- total moment (μB per atom) = 0.000
- uncorrected formation energy (meV/atom) = -318
- crystal system = trigonal
- E_tot (eV/atom) = -4.796
- offset from the most stable computed form (eV per atom) = 0.1926

***

[10]
Material: LiCaDyTe3
Method: DFT, GGA-PBE
State: optimized geometry

a = 8.9594 Å, b = 4.3522 Å, c = 9.6270 Å
α = 90.00°, β = 102.96°, γ = 90.00°
With the nearest neighbours (Å) after each atom.
Space group P2_1/m (No. 11)
Symmetry-distinct sites (fractional):
Li 0.0843 0.2500 0.0851  4 Te 2.74-2.77, 2 Li 2.93
Ca 0.1843 0.2500 0.7394  7 Te 3.26-3.45, 1 Li 3.64
Dy 0.3300 0.7500 0.3320  6 Te 3.07-3.13
Te 0.0978 0.2500 0.3720  1 Li 2.74
Te 0.2323 0.7500 0.0056  3 Li 2.74-2.77, 1 Dy 3.07
Te 0.4264 0.7500 0.6655  3 Dy 3.08-3.13, 2 Ca 3.26

Results
- total moment (μB per atom) = 0.000
- uncorrected formation energy (meV/atom) = -1353
- crystal system = monoclinic
- E_tot (eV/atom) = -4.343

***

[11]
Material: Y3Al7Pd2
Method: DFT, GGA-PBE
State: optimized geometry

a = 5.5195 Å, b = 5.5195 Å, c = 26.0159 Å
α = 90.00°, β = 90.00°, γ = 120.00°
With the nearest neighbours (Å) after each atom.
Space group R-3m (No. 166, hexagonal axes)
Symmetry-distinct sites (fractional):
Y 0.0000 0.0000 0.0000  6 Pd 3.19, 12 Al 3.45
Y 0.0000 0.0000 0.1437  12 Al 3.22-3.26, 3 Y 3.40
Al 0.0000 0.0000 0.5000  6 Al 2.79
Al 0.0067 0.5033 0.9204  2 Pd 2.59-2.64, 5 Al 2.70-2.81
Pd 0.0000 0.0000 0.3357  6 Al 2.59-2.64

Results
- total moment (μB per atom) = 0.000
- crystal system = trigonal
- E_tot (eV/atom) = -5.370
- DFT formation energy (eV/atom) = -0.71

***

[12]
Material: PPt3
Method: DFT, GGA-PBE
State: optimized geometry

a = 3.9863 Å, b = 3.9863 Å, c = 4.0862 Å
α = 90.00°, β = 90.00°, γ = 90.00°
With the nearest neighbours (Å) after each atom.
Space group P4mm (No. 99)
Symmetry-distinct sites (fractional):
P 0.0000 0.0000 0.0000  4 Pt 2.37
Pt 0.0000 0.5000 0.3131  2 P 2.37
Pt 0.5000 0.5000 0.7965  8 Pt 2.81-2.90, 4 P 2.94

Results
- total moment (μB per atom) = 0.000
- crystal system = tetragonal
- E_tot (eV/atom) = -5.910
- DFT formation energy (eV/atom) = -0.03
- offset from the most stable computed form (eV per atom) = 0.2222

***

[13]
Material: ReSiOs2Se
Method: DFT, GGA-PBE
State: optimized geometry

a = 4.5166 Å, b = 4.5166 Å, c = 4.5902 Å
α = 90.00°, β = 90.00°, γ = 90.00°
With the nearest neighbours (Å) after each atom.
Space group P4/mmm (No. 123)
Symmetry-distinct sites (fractional):
Re 0.0000 0.0000 0.0000  2 Se 2.30
Si 0.5000 0.5000 0.0000  4 Re 3.19, 8 Os 3.22
Os 0.0000 0.5000 0.5000  2 Se 2.26
Se 0.0000 0.0000 0.5000  4 Os 2.26, 2 Re 2.30

Results
- total moment (μB per atom) = 0.091
- uncorrected formation energy (meV/atom) = 1976
- crystal system = tetragonal
- E_tot (eV/atom) = -6.787

***

[14]
Material: RbTm2C
Method: DFT, GGA-PBE
State: optimized geometry

a = 3.5930 Å, b = 3.5930 Å, c = 31.7636 Å
α = 90.00°, β = 90.00°, γ = 120.00°
With the nearest neighbours (Å) after each atom.
Space group R-3m (No. 166, hexagonal axes)
Symmetry-distinct sites (fractional):
Rb 0.0000 0.0000 0.0000  6 Rb 3.59, 2 Tm 3.98
Tm 0.0000 0.0000 0.1255  3 C 2.45
C 0.0000 0.0000 0.5000  6 Tm 2.45

Results
- total moment (μB per atom) = 0.111
- crystal system = trigonal
- E_tot (eV/atom) = -4.767
- DFT formation energy (eV/atom) = 0.02

***

[15]
Material: TlZnHgH2
Method: DFT, GGA-PBE
State: optimized geometry

a = 4.0417 Å, b = 4.0417 Å, c = 5.7884 Å
α = 90.00°, β = 90.00°, γ = 90.00°
With the nearest neighbours (Å) after each atom.
Space group P4/mmm (No. 123)
Symmetry-distinct sites (fractional):
Tl 0.0000 0.0000 0.0000  4 Hg 2.86, 2 Zn 2.89
Zn 0.0000 0.0000 0.5000  4 H 2.02
Hg 0.5000 0.5000 0.0000  4 Tl 2.86
H 0.0000 0.5000 0.5000  2 Zn 2.02

Results
- total moment (μB per atom) = 0.000
- crystal system = tetragonal
- E_tot (eV/atom) = -1.681
- offset from the most stable computed form (eV per atom) = 0.0570

***

[16]
Material: TbPm4Sc3
Method: DFT, GGA-PBE
State: optimized geometry

a = 11.1423 Å, b = 7.1463 Å, c = 6.1007 Å
α = 90.00°, β = 90.00°, γ = 90.00°
With the nearest neighbours (Å) after each atom.
Space group Pmn2_1 (No. 31)
Symmetry-distinct sites (fractional):
Tb 0.0000 0.1184 0.0000  6 Sc 3.41-3.49, 6 Pm 3.45-3.70
Pm 0.0000 0.3618 0.4959  4 Sc 3.37-3.77, 6 Pm 3.46-3.76, 2 Tb 3.49-3.53
Pm 0.0000 0.6358 0.9694  4 Sc 3.42-3.68, 2 Tb 3.45-3.70, 6 Pm 3.47-3.76
Pm 0.2402 0.6337 0.3318  5 Sc 3.39-3.73, 6 Pm 3.46-3.61, 1 Tb 3.55
Sc 0.0000 0.8899 0.4939  4 Sc 3.36-3.45, 5 Pm 3.37-3.68, 2 Tb 3.43-3.49
Sc 0.2495 0.1127 0.3253  4 Sc 3.36-3.45, 2 Tb 3.41-3.42, 6 Pm 3.42-3.73

Results
- total moment (μB per atom) = 0.000
- crystal system = orthorhombic
- E_tot (eV/atom) = -5.273
- DFT formation energy (eV/atom) = 0.05
- offset from the most stable computed form (eV per atom) = 0.0000

***

[17]
Material: SmHoTm2
Method: DFT, GGA-PBE
State: optimized geometry

a = 3.5345 Å, b = 3.5345 Å, c = 34.4315 Å
α = 90.00°, β = 90.00°, γ = 120.00°
With the nearest neighbours (Å) after each atom.
Space group R-3m (No. 166, hexagonal axes)
Symmetry-distinct sites (fractional):
Sm 0.0000 0.0000 0.0000  6 Sm 3.53, 6 Tm 3.55
Ho 0.0000 0.0000 0.5000  6 Tm 3.50, 6 Ho 3.53
Tm 0.0000 0.0000 0.2491  3 Ho 3.50, 6 Tm 3.53, 3 Sm 3.55

Results
- total moment (μB per atom) = 0.000
- crystal system = trigonal
- E_tot (eV/atom) = -4.536
- DFT formation energy (eV/atom) = 0.02
- offset from the most stable computed form (eV per atom) = 0.0143

***

[18]
Material: Ta2Be3B
Method: DFT, GGA-PBE
State: optimized geometry

a = 3.2414 Å, b = 3.3599 Å, c = 5.8682 Å
α = 90.00°, β = 90.00°, γ = 90.00°
With the nearest neighbours (Å) after each atom.
Space group Pmm2 (No. 25)
Symmetry-distinct sites (fractional):
Ta 0.0000 0.0000 0.0000  2 B 2.49, 10 Be 2.52-2.63
Ta 0.0000 0.5000 0.4792  8 Be 2.47-2.59, 4 B 2.51
Be 0.5000 0.0000 0.6462  1 B 1.90, 2 Be 1.97
Be 0.5000 0.5000 0.1624  2 B 1.92, 1 Be 1.99
Be 0.5000 0.5000 0.8231  3 Be 1.97-1.99
B 0.5000 0.0000 0.3220  3 Be 1.90-1.92

Results
- total moment (μB per atom) = 0.000
- crystal system = orthorhombic
- E_tot (eV/atom) = -7.360
- DFT formation energy (eV/atom) = -0.43
- offset from the most stable computed form (eV per atom) = 0.0000

***

[19]
Material: TlCo2TeOs
Method: DFT, GGA-PBE
State: optimized geometry

a = 4.5971 Å, b = 4.5971 Å, c = 5.8801 Å
α = 90.00°, β = 90.00°, γ = 90.00°
With the nearest neighbours (Å) after each atom.
Space group P4/mmm (No. 123)
Symmetry-distinct sites (fractional):
Tl 0.0000 0.0000 0.0000  2 Te 2.94, 4 Os 3.25
Co 0.0000 0.5000 0.5000  2 Te 2.30
Te 0.0000 0.0000 0.5000  4 Co 2.30
Os 0.5000 0.5000 0.0000  4 Tl 3.25

Results
- total moment (μB per atom) = 1.234
- uncorrected formation energy (meV/atom) = 1869
- crystal system = tetragonal
- E_tot (eV/atom) = -4.321

***

[20]
Material: Sc2NbCo5Si2
Method: DFT, GGA-PBE
State: optimized geometry

a = 9.0077 Å, b = 9.0077 Å, c = 3.3468 Å
α = 90.00°, β = 90.00°, γ = 90.00°
With the nearest neighbours (Å) after each atom.
Space group P4/mbm (No. 127)
Symmetry-distinct sites (fractional):
Sc 0.1743 0.3257 0.0000  3 Si 2.60-2.71, 6 Co 2.78-2.89
Nb 0.0000 0.0000 0.0000  8 Co 2.61
Co 0.0000 0.5000 0.5000  4 Si 2.28
Co 0.0670 0.7885 0.5000  2 Si 2.30
Si 0.1219 0.6219 0.0000  6 Co 2.28-2.30

Results
- total moment (μB per atom) = 0.000
- uncorrected formation energy (meV/atom) = -517
- crystal system = tetragonal
- E_tot (eV/atom) = -7.427